Entry 1:
Ti5MnBi2, relaxed, DFT GGA-PBE; space group = No. 63; raw total energy = -108.401 eV/cell
1.0
4.5764 0.0000 0.0000
-2.2882 6.5967 0.0000
0.0000 0.0000 12.0146
Ti Mn Bi
10 2 4
Direct
0.8804 0.7608 0.8763
0.8804 0.7608 0.6237
0.3029 0.6059 0.4910
0.3029 0.6059 0.0090
0.7086 0.4173 0.2500
0.2914 0.5827 0.7500
0.6971 0.3941 0.5090
0.6971 0.3941 0.9910
0.1196 0.2392 0.1237
0.1196 0.2392 0.3763
0.7477 0.4954 0.7500
0.2523 0.5046 0.2500
0.8995 0.7991 0.3825
0.8995 0.7991 0.1175
0.1005 0.2009 0.6175
0.1005 0.2009 0.8825

Entry 2:
CsHf2Si, relaxed, DFT GGA-PBE; uncorrected formation energy = 1027 meV/atom; space group = No. 141
1.0
5.6390 0.0000 0.0000
0.0000 5.6390 0.0000
2.8195 2.8195 9.3228
Cs Si Hf
2 2 4
Direct
0.0000 0.0000 0.0000
0.7500 0.2500 0.5000
0.5000 0.5000 0.0000
0.2500 0.7500 0.5000
0.3750 0.1250 0.2500
0.3750 0.6250 0.2500
0.3750 0.6250 0.7500
0.8750 0.6250 0.7500

Entry 3:
K2SiTe, relaxed, DFT GGA-PBE; uncorrected formation energy = -88 meV/atom; space group = No. 123
1.0
4.7543 0.0000 0.0000
0.0000 4.7543 0.0000
0.0000 0.0000 5.2838
K Si Te
2 1 1
Direct
0.0000 0.0000 0.0000
0.5000 0.5000 0.0000
0.5000 0.0000 0.5000
0.0000 0.5000 0.5000

Entry 4:
InIr2Pt, relaxed, DFT GGA-PBE; space group = No. 12; raw total energy = -26.466 eV/cell
1.0
-0.9088 2.5950 4.0252
-3.4472 1.8785 2.8897
-0.4507 -3.6065 3.2832
In Ir Pt
1 2 1
Direct
0.2500 0.2500 0.2500
0.9984 0.9984 0.9884
0.5016 0.5016 0.5116
0.7500 0.7500 0.7500

Entry 5:
Te2PtSN, relaxed, DFT GGA-PBE; uncorrected formation energy = 705 meV/atom; space group = No. 123
1.0
-2.7013 2.9806 -3.8323
-2.3170 -4.6454 -1.9797
-2.8139 0.4193 2.3095
S Te Pt N
1 2 1 1
Direct
0.5000 0.5000 0.5000
0.0000 0.5000 0.0000
0.5000 0.0000 0.0000
0.0000 0.0000 0.0000
0.0000 0.0000 0.5000

Entry 6:
Ac3LaRu2, relaxed, DFT GGA-PBE; space group = No. 2; raw total energy = -74.041 eV/cell
1.0
4.2185 0.0004 0.8671
1.7955 8.8215 1.9614
-0.0802 -0.5012 11.0398
Ac La Ru
6 2 4
Direct
0.0618 0.0715 0.8059
0.9382 0.9285 0.1941
0.6861 0.6817 0.9457
0.3139 0.3183 0.0543
0.8122 0.8144 0.5619
0.1878 0.1856 0.4381
0.4421 0.4222 0.6938
0.5579 0.5778 0.3062
0.8754 0.3838 0.8648
0.1246 0.6162 0.1352
0.6230 0.1314 0.6223
0.3770 0.8686 0.3777

Entry 7:
CaMg2Si, relaxed, DFT GGA-PBE; uncorrected formation energy = 35 meV/atom; space group = No. 47
1.0
-3.1410 -0.0606 -1.2795
-0.5248 -3.7712 1.4671
-2.3932 2.5711 5.7531
Ca Mg Si
1 2 1
Direct
0.5000 0.5000 0.7500
0.0000 0.0000 0.0431
0.0000 0.0000 0.4569
0.5000 0.5000 0.2500

Entry 8:
FeBiPt2, relaxed, DFT GGA-PBE; space group = No. 122; raw total energy = -45.519 eV/cell
1.0
3.8819 0.0000 0.0000
0.0000 3.8819 0.0000
1.9410 1.9410 9.5381
Bi Pt Fe
2 4 2
Direct
0.0000 0.0000 0.0000
0.7500 0.2500 0.5000
0.6055 0.1250 0.2500
0.1445 0.6250 0.2500
0.3750 0.3945 0.7500
0.8750 0.8555 0.7500
0.5000 0.5000 0.0000
0.2500 0.7500 0.5000

Entry 9:
ErPuPaRe, relaxed, DFT GGA-PBE; space group = No. 216; raw total energy = -40.174 eV/cell
1.0
4.9878 0.0000 0.0000
2.4939 4.3196 0.0000
2.4939 1.4399 4.0725
Er Re Pa Pu
1 1 1 1
Direct
0.7500 0.7500 0.7500
0.0000 0.0000 0.0000
0.2500 0.2500 0.2500
0.5000 0.5000 0.5000

Entry 10:
BiI2NO, relaxed, DFT GGA-PBE; uncorrected formation energy = 1197 meV/atom; space group = No. 123
1.0
6.1478 0.0000 0.0000
0.0000 6.1478 0.0000
0.0000 0.0000 4.7162
I Bi O N
2 1 1 1
Direct
0.0000 0.5000 0.0000
0.5000 0.0000 0.0000
0.0000 0.0000 0.0000
0.5000 0.5000 0.5000
0.0000 0.0000 0.5000

Number 1: total moment 0.000 μB per atom, V 362.7 Å³/cell. Number 2: total moment 0.001 μB per atom, V 296.5 Å³/cell. Number 3: total moment 0.011 μB per atom, V 119.4 Å³/cell. Number 4: total moment 0.000 μB per atom, V 64.4 Å³/cell. Number 5: total moment 0.000 μB per atom, V 113.1 Å³/cell. Number 6: total moment 0.000 μB per atom, V 414.8 Å³/cell. Number 7: total moment 0.000 μB per atom, V 93.3 Å³/cell. Number 8: total moment 0.000 μB per atom, V 143.7 Å³/cell. Number 9: total moment 1.604 μB per atom, V 87.7 Å³/cell. Number 10: total moment 0.800 μB per atom, V 178.3 Å³/cell.